1.
Entry from Alexandria via LeMat-Bulk: an optimized crystal structure of NbS (PBE).

Calculated values
Its total energy is -62.15 eV/cell. The volume comes out at 155 Å³/cell. The calculation puts the density of states at the Fermi level at 4.02 states/eV per cell. Its space group is Fddd, No. 70. The calculation puts the total magnetization at 0.00 Bohr magnetons per cell. For the uncorrected formation energy, the calculation gives -0.671 eV per atom.

Unit cell a=6.439 b=5.898 c=5.889 alpha=66.23 beta=56.95 gamma=56.82
Fractional coordinates of all 8 atoms:
Nb 0.024 0.024 0.726
Nb 0.274 0.274 0.976
Nb 0.726 0.726 0.024
Nb 0.976 0.976 0.274
S 0.152 0.598 0.598
S 0.402 0.848 0.848
S 0.598 0.152 0.152
S 0.848 0.402 0.402

=====

2.
Entry from Alexandria via LeMat-Bulk: an optimized crystal structure of NbS (PBE).

Calculated values
Its total energy is -47.17 eV/cell. The volume comes out at 117 Å³/cell. The calculation puts the density of states at the Fermi level at 4.25 states/eV per cell. Its space group is Amm2, No. 38. The calculation puts the total magnetization at 0.00 Bohr magnetons per cell. For the uncorrected formation energy, the calculation gives -0.763 eV per atom.

Unit cell a=3.395 b=6.448 c=6.448 alpha=124.18 beta=90.00 gamma=90.00
Fractional coordinates of all 6 atoms:
Nb 0.000 0.000 0.000
Nb 0.500 0.145 0.751
Nb 0.500 0.751 0.145
S 0.000 0.080 0.423
S 0.000 0.423 0.080
S 0.500 0.709 0.709

=====

3.
Entry from Alexandria via LeMat-Bulk: an optimized crystal structure of NbS (PBE).

Calculated values
Its total energy is -31.47 eV/cell. The volume comes out at 64 Å³/cell. The calculation puts the density of states at the Fermi level at 3.32 states/eV per cell. Its space group is R3m, No. 160. The calculation puts the total magnetization at 0.00 Bohr magnetons per cell. For the uncorrected formation energy, the calculation gives -0.768 eV per atom.

Unit cell a=7.080 b=7.080 c=7.080 alpha=26.94 beta=26.94 gamma=26.94
Fractional coordinates of all 4 atoms:
Nb 0.000 0.000 0.000
Nb 0.157 0.157 0.157
S 0.412 0.412 0.412
S 0.576 0.576 0.576

=====

4.
Entry from Alexandria via LeMat-Bulk: an optimized crystal structure of NbS2 (PBE).

Calculated values
Its total energy is -21.30 eV/cell. The volume comes out at 64 Å³/cell. The calculation puts the density of states at the Fermi level at 2.82 states/eV per cell. Its space group is C2/m, No. 12. The calculation puts the total magnetization at 0.00 Bohr magnetons per cell. For the uncorrected formation energy, the calculation gives -0.992 eV per atom.

Unit cell a=3.384 b=3.384 c=6.438 alpha=90.09 beta=90.09 gamma=60.00
Fractional coordinates of all 3 atoms:
Nb 0.000 0.000 0.000
S 0.333 0.333 0.759
S 0.667 0.667 0.241

=====

5.
Entry from Alexandria via LeMat-Bulk: an optimized crystal structure of NbS2 (PBE).

Calculated values
Its total energy is -20.65 eV/cell. The volume comes out at 68 Å³/cell. The calculation puts the density of states at the Fermi level at 1.76 states/eV per cell. Its space group is Amm2, No. 38. The calculation puts the total magnetization at 0.00 Bohr magnetons per cell. For the uncorrected formation energy, the calculation gives -0.776 eV per atom.

Unit cell a=3.361 b=6.645 c=6.645 alpha=27.22 beta=90.00 gamma=90.00
Fractional coordinates of all 3 atoms:
Nb 0.000 0.000 0.000
S 0.000 0.640 0.640
S 0.500 0.411 0.411

=====

6.
Entry from Alexandria via LeMat-Bulk: an optimized crystal structure of NbS2 (PBE).

Calculated values
Its total energy is -21.41 eV/cell. The volume comes out at 65 Å³/cell. The calculation puts the density of states at the Fermi level at 3.43 states/eV per cell. Its space group is R3m, No. 160. The calculation puts the total magnetization at 0.07 Bohr magnetons per cell. For the uncorrected formation energy, the calculation gives -1.027 eV per atom.

Unit cell a=6.973 b=6.973 c=6.973 alpha=27.82 beta=27.82 gamma=27.82
Fractional coordinates of all 3 atoms:
Nb 0.000 0.000 0.000
S 0.589 0.589 0.589
S 0.745 0.745 0.745

=====

7.
Entry from Alexandria via LeMat-Bulk: an optimized crystal structure of NbS (PBE).

Calculated values
Its total energy is -31.13 eV/cell. The volume comes out at 66 Å³/cell. The calculation puts the density of states at the Fermi level at 2.33 states/eV per cell. Its space group is P-1, No. 2. The calculation puts the total magnetization at 0.00 Bohr magnetons per cell. For the uncorrected formation energy, the calculation gives -0.683 eV per atom.

Unit cell a=3.165 b=4.800 c=4.844 alpha=80.85 beta=71.03 gamma=70.98
Fractional coordinates of all 4 atoms:
Nb 0.049 0.184 0.220
Nb 0.951 0.816 0.780
S 0.283 0.253 0.682
S 0.717 0.747 0.318

=====

8.
Entry from Alexandria via LeMat-Bulk: an optimized crystal structure of Nb5S7 (PBE).

Calculated values
Its total energy is -89.83 eV/cell. The volume comes out at 209 Å³/cell. The calculation puts the density of states at the Fermi level at 6.62 states/eV per cell. Its space group is C2/m, No. 12. The calculation puts the total magnetization at 0.00 Bohr magnetons per cell. For the uncorrected formation energy, the calculation gives -0.882 eV per atom.

Unit cell a=6.084 b=6.084 c=11.041 alpha=98.42 beta=98.42 gamma=31.17
Fractional coordinates of all 12 atoms:
Nb 0.000 0.000 0.000
Nb 0.150 0.150 0.441
Nb 0.353 0.353 0.161
Nb 0.647 0.647 0.839
Nb 0.850 0.850 0.559
S 0.003 0.003 0.231
S 0.234 0.234 0.660
S 0.336 0.336 0.942
S 0.500 0.500 0.500
S 0.664 0.664 0.058
S 0.766 0.766 0.340
S 0.997 0.997 0.769

=====

9.
Entry from Alexandria via LeMat-Bulk: an optimized crystal structure of NbS (PBE).

Calculated values
Its total energy is -32.00 eV/cell. The volume comes out at 67 Å³/cell. The calculation puts the density of states at the Fermi level at 1.06 states/eV per cell. Its space group is Cm, No. 8. The calculation puts the total magnetization at 0.00 Bohr magnetons per cell. For the uncorrected formation energy, the calculation gives -0.901 eV per atom.

Unit cell a=4.635 b=4.635 c=4.924 alpha=103.26 beta=103.26 gamma=41.06
Fractional coordinates of all 4 atoms:
Nb 0.000 0.000 0.000
Nb 0.641 0.641 0.552
S 0.373 0.373 0.626
S 0.723 0.723 0.097

=====

10.
Entry from Alexandria via LeMat-Bulk: an optimized crystal structure of NbS (PBE).

Calculated values
Its total energy is -60.45 eV/cell. The volume comes out at 233 Å³/cell. The calculation puts the density of states at the Fermi level at 1.70 states/eV per cell. Its space group is I-43m, No. 217. The calculation puts the total magnetization at 0.00 Bohr magnetons per cell. For the uncorrected formation energy, the calculation gives -0.457 eV per atom.

Unit cell a=6.715 b=6.715 c=6.715 alpha=109.47 beta=109.47 gamma=109.47
Fractional coordinates of all 8 atoms:
Nb 0.000 0.000 0.251
Nb 0.000 0.251 0.000
Nb 0.251 0.000 0.000
Nb 0.749 0.749 0.749
S 0.000 0.000 0.630
S 0.000 0.630 0.000
S 0.370 0.370 0.370
S 0.630 0.000 0.000

=====

11.
Entry from Alexandria via LeMat-Bulk: an optimized crystal structure of NbSb3S (PBE).

Calculated values
Its total energy is -24.18 eV/cell. Its energy above the most stable polymorph in this dataset is 0.00 eV/f.u. The volume comes out at 148 Å³/cell. The calculation puts the density of states at the Fermi level at 2.41 states/eV per cell. Its space group is Pm-3m, No. 221. The calculation puts the total magnetization at 0.00 Bohr magnetons per cell. For the uncorrected formation energy, the calculation gives 0.478 eV per atom.

Unit cell a=5.291 b=5.291 c=5.291 alpha=90.00 beta=90.00 gamma=90.00
Fractional coordinates of all 5 atoms:
Nb 0.000 0.000 0.000
Sb 0.000 0.000 0.500
Sb 0.000 0.500 0.000
Sb 0.500 0.000 0.000
S 0.500 0.500 0.500

=====

12.
Entry from Alexandria via LeMat-Bulk: an optimized crystal structure of NbSb3S (PBE).

Calculated values
Its total energy is -22.43 eV/cell. Its energy above the most stable polymorph in this dataset is 1.75 eV/f.u. The volume comes out at 132 Å³/cell. The calculation puts the density of states at the Fermi level at 3.69 states/eV per cell. Its space group is Pm-3m, No. 221. The calculation puts the total magnetization at 2.26 Bohr magnetons per cell. For the uncorrected formation energy, the calculation gives 0.827 eV per atom.

Unit cell a=5.094 b=5.094 c=5.094 alpha=90.00 beta=90.00 gamma=90.00
Fractional coordinates of all 5 atoms:
Nb 0.000 0.000 0.000
Sb 0.000 0.500 0.500
Sb 0.500 0.000 0.500
Sb 0.500 0.500 0.000
S 0.500 0.500 0.500